(1)
Below is a relaxed structure of Ca2OsW, with properties calculated at the PBE level.

The final energy comes out at -6.2199 eV per atom. The formation enthalpy at 0 K comes out at 0.827 eV per atom.

The space group is P2/m (No. 10) and the conventional cell measures 2.864, 5.020 and 5.569 Å, with angles of 90.00, 103.20 and 90.00 degrees. The distinct sites, in fractional coordinates, are Ca at (0.045, 0.000, 0.255), Os at (0.500, 0.500, 0.500) and W at (0.500, 0.500, 0.000).


(2)
Below is a relaxed structure of Dy2Te5Pd4, with properties calculated at the PBE level.

The final energy comes out at -4.8908 eV per atom. As for the raw formation energy: -0.738 eV per atom.

The space group is R-3m (No. 166, hexagonal axes) and the conventional cell measures 4.4038, 4.4038 and 52.1595 Å, with angles of 90.00, 90.00 and 120.00 degrees. The distinct sites, in fractional coordinates, are Dy at (0.0000, 0.0000, 0.1291), Te at (0.0000, 0.0000, 0.2358), Te at (0.0000, 0.0000, 0.3682), Te at (0.0000, 0.0000, 0.5000), Pd at (0.0000, 0.0000, 0.3172) and Pd at (0.0000, 0.0000, 0.4217).